[1]
# Na2ZnCd2

Na2ZnCd2 after structural relaxation (GGA-PBEsol, Alexandria).

Formation energy   0.25 eV per atom
Distance to the lowest polymorph of the same formula   225.5 meV/atom
Energy   -1.100 eV/atom
Crystal system   tetragonal
Spin magnetization   0.00 μB per cell
D(E_F)   0.3986 states/eV per atom

```
5
Lattice="-2.015 2.015 7.515 2.015 -2.015 7.515 2.015 2.015 -7.515" Properties=species:S:1:pos:R:3 pbc="T T T"
Na 2.015 0.000 3.758
Na 0.000 2.015 3.758
Zn 0.000 0.000 0.000
Cd 0.000 0.000 6.151
Cd 0.000 0.000 8.880
```


[2]
# MnBeAs2

MnBeAs2 after structural relaxation (GGA-PBEsol, Alexandria).

Formation energy   0.12 eV per atom
Distance to the lowest polymorph of the same formula   28.1 meV/atom
Energy   -5.877 eV/atom
Crystal system   tetragonal
Spin magnetization   2.95 μB per cell
D(E_F)   0.4147 states/eV per atom

```
4
Lattice="3.360 0.000 0.000 0.000 3.360 0.000 0.000 0.000 5.182" Properties=species:S:1:pos:R:3 pbc="T T T"
Mn 0.000 0.000 0.000
Be 1.680 1.680 3.454
As 0.000 0.000 2.765
As 1.680 1.680 0.629
```


[3]
# BaTaOs

BaTaOs after structural relaxation (GGA-PBEsol, Alexandria).

Formation energy   0.67 eV per atom
Energy   -8.307 eV/atom
Crystal system   hexagonal
Spin magnetization   0.00 μB per cell
D(E_F)   1.1160 states/eV per atom

```
3
Lattice="4.224 0.000 0.000 -2.112 3.658 0.000 0.000 0.000 5.500" Properties=species:S:1:pos:R:3 pbc="T T T"
Ba 0.000 0.000 0.000
Ta 2.112 1.219 2.750
Os 0.000 2.439 2.750
```